## w
A relaxed LiTl2Tc crystal, computed with PBE.

Values from the calculation:
Space-group type = Cmm2
Calculated density = 10.19 g/cm3

Lattice parameters (Å, degrees): 2.9685 2.9685 9.5422 90.00 90.00 95.14
Each line ends with the local moment (μB).
Element x y z (fractional)
1 Tc 0.5000 0.5000 0.7252  0.13
2 Tl 0.0000 0.0000 0.9615  0.00
3 Tl 0.5000 0.5000 0.2835  0.00
4 Li 0.0000 0.0000 0.5298  0.00


## x
A relaxed LiTl2Tc crystal, computed with PBE.

Values from the calculation:
Space-group type = C2/m
Calculated density = 10.58 g/cm3

Lattice parameters (Å, degrees): 4.7904 4.7904 6.0014 82.49 82.49 36.22
Element x y z (fractional)
1 Tl 0.9966 0.9966 0.0061
2 Tl 0.5034 0.5034 0.4939
3 Li 0.7500 0.7500 0.7500
4 Tc 0.2500 0.2500 0.2500


Energy ordering: x at the bottom, the next structure 101 meV per atom above.